No. 1
DFT (PBEsol) results for a relaxed HgGeSN2 crystal.

Lattice parameters (Å, degrees): 4.144 4.144 5.322 90.00 90.00 90.00
Space group P4/mmm (No. 123)
One atom of each set of equivalent atoms:
Hg 0.000 0.000 0.000 x1
Ge 0.500 0.500 0.500 x1
S 0.000 0.000 0.500 x1
N 0.000 0.500 0.000 x2

## Properties
**E_form (uncorrected)**: 174.09 kJ/mol of atoms

No. 2
DFT (PBEsol) results for a relaxed CsAsWSe2 crystal.

Lattice parameters (Å, degrees): 5.474 5.474 5.607 90.00 90.00 90.00
Space group P4/mmm (No. 123)
One atom of each set of equivalent atoms:
Cs 0.000 0.000 0.000 x1
As 0.000 0.000 0.500 x1
W 0.500 0.500 0.500 x1
Se 0.000 0.500 0.000 x2

## Properties
**E_form (uncorrected)**: 240.87 kJ/mol of atoms

No. 3
DFT (PBEsol) results for a relaxed Sc2In crystal.

Lattice parameters (Å, degrees): 8.3014 8.3014 3.4165 90.00 90.00 120.00
Space group P-62m (No. 189)
One atom of each set of equivalent atoms:
Sc 0.0000 0.3763 0.0000 x3
Sc 0.0000 0.7097 0.5000 x3
In 0.0000 0.0000 0.0000 x1
In 0.3333 0.6667 0.5000 x2

## Properties
**Energy of formation**: -0.36 eV/atom

No. 4
DFT (PBEsol) results for a relaxed Ca2AlPd2 crystal.

Lattice parameters (Å, degrees): 9.842 5.703 7.688 90.00 102.60 90.00
Space group C2/c (No. 15)
One atom of each set of equivalent atoms:
Ca 0.149 0.133 0.148 x8
Al 0.000 0.377 0.750 x4
Pd 0.128 0.368 0.503 x8

## Properties
**Energy of formation**: -0.75 eV/atom

No. 5
DFT (PBEsol) results for a relaxed TaMnNb2 crystal.

Lattice parameters (Å, degrees): 6.322 6.322 6.322 90.00 90.00 90.00
Space group Fm-3m (No. 225)
One atom of each set of equivalent atoms:
Ta 0.000 0.000 0.000 x4
Mn 0.000 0.000 0.500 x4
Nb 0.250 0.250 0.250 x8

## Properties
**Energy of formation**: 0.05 eV/atom

No. 6
DFT (PBEsol) results for a relaxed KRuO2 crystal.

Lattice parameters (Å, degrees): 5.018 5.018 10.555 90.00 90.00 90.00
Space group I-42d (No. 122)
One atom of each set of equivalent atoms:
K 0.000 0.000 0.000 x4
Ru 0.000 0.000 0.500 x4
O 0.120 0.250 0.625 x8

## Properties
**E_form (uncorrected)**: -79.88 kJ/mol of atoms

No. 7
DFT (PBEsol) results for a relaxed CsNa2Ga2 crystal.

Lattice parameters (Å, degrees): 5.643 5.643 10.240 90.00 90.00 90.00
Space group I4/mmm (No. 139)
One atom of each set of equivalent atoms:
Cs 0.000 0.000 0.000 x2
Na 0.000 0.500 0.250 x4
Ga 0.000 0.000 0.382 x4

## Properties
**Energy of formation**: 0.09 eV/atom

No. 8
DFT (PBEsol) results for a relaxed Li2MgCd crystal.

Lattice parameters (Å, degrees): 3.0424 3.0424 29.2875 90.00 90.00 120.00
Space group R-3m (No. 166, hexagonal axes)
One atom of each set of equivalent atoms:
Li 0.0000 0.0000 0.2469 x6
Mg 0.0000 0.0000 0.0000 x3
Cd 0.0000 0.0000 0.5000 x3

## Properties
**Energy of formation**: -0.10 eV/atom

No. 9
DFT (PBEsol) results for a relaxed TaCd2Ru crystal.

Lattice parameters (Å, degrees): 3.245 4.387 4.813 90.00 90.00 90.00
Space group Pmmm (No. 47)
One atom of each set of equivalent atoms:
Ta 0.000 0.000 0.000 x1
Cd 0.000 0.500 0.500 x1
Cd 0.500 0.000 0.500 x1
Ru 0.500 0.500 0.000 x1

## Properties
**Energy of formation**: 0.24 eV/atom

No. 10
DFT (PBEsol) results for a relaxed La2Al2Ge crystal.

Lattice parameters (Å, degrees): 4.134 27.165 4.596 90.00 90.00 90.00
Space group Cmcm (No. 63)
One atom of each set of equivalent atoms:
La 0.000 0.075 0.250 x4
La 0.000 0.296 0.750 x4
Al 0.000 0.381 0.250 x4
Al 0.000 0.476 0.250 x4
Ge 0.000 0.174 0.750 x4

## Properties
**Energy of formation**: -0.64 eV/atom

No. 11
DFT (PBEsol) results for a relaxed Ge3Sb4O12 crystal.

Lattice parameters (Å, degrees): 10.434 10.434 10.434 90.00 90.00 90.00
Space group I-43d (No. 220)
One atom of each set of equivalent atoms:
Ge 0.000 0.250 0.875 x12
Sb 0.094 0.406 0.594 x16
O 0.035 0.377 0.178 x48

## Properties
**E_form (uncorrected)**: -145.15 kJ/mol of atoms

No. 12
DFT (PBEsol) results for a relaxed BaCaO2 crystal.

Lattice parameters (Å, degrees): 6.227 3.700 12.087 90.00 90.00 90.00
Space group Pnma (No. 62)
One atom of each set of equivalent atoms:
Ba 0.091 0.250 0.142 x4
Ca 0.088 0.750 0.393 x4
O 0.157 0.250 0.752 x4
O 0.216 0.250 0.482 x4

## Properties
**E_form (uncorrected)**: -261.17 kJ/mol of atoms

No. 13
DFT (PBEsol) results for a relaxed MnAsIr2 crystal.

Lattice parameters (Å, degrees): 8.434 2.868 4.750 90.00 99.78 90.00
Space group C2/m (No. 12)
One atom of each set of equivalent atoms:
Mn 0.000 0.000 0.000 x2
As 0.000 0.500 0.500 x2
Ir 0.244 0.500 0.242 x4

## Properties
**Energy of formation**: 0.03 eV/atom

No. 14
DFT (PBEsol) results for a relaxed Ti2CdInBr crystal.

Lattice parameters (Å, degrees): 5.153 5.153 5.334 90.00 90.00 90.00
Space group P4/mmm (No. 123)
One atom of each set of equivalent atoms:
Ti 0.000 0.500 0.000 x2
Cd 0.000 0.000 0.000 x1
In 0.500 0.500 0.500 x1
Br 0.000 0.000 0.500 x1

## Properties
**E_form (uncorrected)**: 108.67 kJ/mol of atoms

No. 15
DFT (PBEsol) results for a relaxed FeSn3N crystal.

Lattice parameters (Å, degrees): 4.743 4.743 4.743 90.00 90.00 90.00
Space group Pm-3m (No. 221)
One atom of each set of equivalent atoms:
Fe 0.000 0.000 0.000 x1
Sn 0.000 0.000 0.500 x3
N 0.500 0.500 0.500 x1

## Properties
**E_form (uncorrected)**: 83.91 kJ/mol of atoms

No. 16
DFT (PBEsol) results for a relaxed BeGa3O crystal.

Lattice parameters (Å, degrees): 4.281 4.281 4.281 90.00 90.00 90.00
Space group Pm-3m (No. 221)
One atom of each set of equivalent atoms:
Be 0.000 0.000 0.000 x1
Ga 0.000 0.500 0.500 x3
O 0.500 0.500 0.500 x1

## Properties
**E_form (uncorrected)**: 17.03 kJ/mol of atoms

No. 17
DFT (PBEsol) results for a relaxed Zr2CdSe crystal.

Lattice parameters (Å, degrees): 4.059 4.059 9.729 90.00 90.00 90.00
Space group I-4m2 (No. 119)
One atom of each set of equivalent atoms:
Zr 0.000 0.000 0.000 x2
Zr 0.000 0.500 0.250 x2
Cd 0.000 0.000 0.500 x2
Se 0.000 0.500 0.750 x2

## Properties
**E_form (uncorrected)**: -28.99 kJ/mol of atoms

No. 18
DFT (PBEsol) results for a relaxed CaLaMoPd2 crystal.

Lattice parameters (Å, degrees): 4.695 4.695 5.364 90.00 90.00 90.00
Space group P4/mmm (No. 123)
One atom of each set of equivalent atoms:
Ca 0.000 0.000 0.000 x1
La 0.000 0.000 0.500 x1
Mo 0.500 0.500 0.500 x1
Pd 0.000 0.500 0.000 x2

## Properties
**Energy of formation**: 1.35 eV/atom

No. 19
DFT (PBEsol) results for a relaxed Cd2PAu crystal.

Lattice parameters (Å, degrees): 3.8310 3.8310 19.3293 90.00 90.00 120.00
Space group R-3m (No. 166, hexagonal axes)
One atom of each set of equivalent atoms:
Cd 0.0000 0.0000 0.2436 x6
P 0.0000 0.0000 0.5000 x3
Au 0.0000 0.0000 0.0000 x3

## Properties
**Energy of formation**: 0.13 eV/atom

No. 20
DFT (PBEsol) results for a relaxed NaCuI2 crystal.

Lattice parameters (Å, degrees): 6.827 6.827 11.391 90.00 90.00 90.00
Space group I-42d (No. 122)
One atom of each set of equivalent atoms:
Na 0.000 0.000 0.000 x4
Cu 0.000 0.000 0.500 x4
I 0.192 0.750 0.625 x8

## Properties
**E_form (uncorrected)**: -59.74 kJ/mol of atoms

No. 21
DFT (PBEsol) results for a relaxed FeAsAu2 crystal.

Lattice parameters (Å, degrees): 2.728 4.564 10.848 90.00 90.00 90.00
Space group Imm2 (No. 44)
One atom of each set of equivalent atoms:
Fe 0.000 0.000 0.000 x2
As 0.000 0.500 0.690 x2
Au 0.000 0.000 0.521 x2
Au 0.000 0.500 0.294 x2

## Properties
**Energy of formation**: 0.23 eV/atom

No. 22
DFT (PBEsol) results for a relaxed Cu3Se2 crystal.

Lattice parameters (Å, degrees): 6.218 6.218 4.331 90.00 90.00 90.00
Space group P-42_1m (No. 113)
One atom of each set of equivalent atoms:
Cu 0.000 0.000 0.000 x2
Cu 0.145 0.355 0.765 x4
Se 0.233 0.733 0.730 x4

## Properties
**E_form (uncorrected)**: -12.56 kJ/mol of atoms

No. 23
DFT (PBEsol) results for a relaxed CuRePb2 crystal.

Lattice parameters (Å, degrees): 4.237 3.559 10.274 90.00 90.00 90.00
Space group Amm2 (No. 38)
One atom of each set of equivalent atoms:
Cu 0.000 0.000 0.000 x2
Re 0.500 0.000 0.143 x2
Pb 0.000 0.000 0.722 x2
Pb 0.500 0.000 0.425 x2

## Properties
**Energy of formation**: 0.63 eV/atom

No. 24
DFT (PBEsol) results for a relaxed Sr2Zn3As2O2 crystal.

Lattice parameters (Å, degrees): 4.070 4.070 18.684 90.00 90.00 90.00
Space group I4/mmm (No. 139)
One atom of each set of equivalent atoms:
Sr 0.000 0.000 0.086 x4
Zn 0.000 0.000 0.500 x2
Zn 0.000 0.500 0.250 x4
As 0.000 0.000 0.332 x4
O 0.000 0.500 0.000 x4

## Properties
**E_form (uncorrected)**: -127.57 kJ/mol of atoms

No. 25
DFT (PBEsol) results for a relaxed ZrVCr crystal.

Lattice parameters (Å, degrees): 4.938 5.189 7.121 90.00 90.00 90.00
Space group Imma (No. 74)
One atom of each set of equivalent atoms:
Zr 0.000 0.250 0.123 x4
V 0.000 0.000 0.500 x4
Cr 0.250 0.250 0.750 x4

## Properties
**Energy of formation**: -0.02 eV/atom

no.,spin magnetization (μB/cell),calculated volume (Å³ per cell),E_tot (eV/atom)
1,2.77,91,-3.58
2,3.07,168,-3.01
3,2.12,204,-5.76
4,0.00,421,-4.80
5,0.01,253,-10.93
6,0.00,266,-6.28
7,0.01,326,-1.99
8,0.00,235,-1.81
9,0.00,69,-6.04
10,1.55,516,-5.40
11,0.00,1136,-6.56
12,0.00,278,-6.40
13,7.06,113,-8.60
14,3.40,142,-3.41
15,1.00,107,-5.18
16,0.00,78,-3.68
17,0.00,160,-6.11
18,2.64,118,-4.89
19,0.00,246,-2.89
20,0.00,531,-2.94
21,5.34,135,-5.25
22,0.00,167,-4.27
23,0.00,155,-5.79
24,0.00,309,-4.56
25,0.00,182,-9.67